First-principles (PBE) data for an optimized crystal structure of CaAgPPd2, as listed in Alexandria via LeMat-Bulk.

Summary:
ρ   6.4 Mg/m³
Total magnetic moment   0.0 Bohr magnetons per cell
Raw total energy   -23.14 eV/f.u.
ΔH_f (0 K)   -0.50 eV per atom
Density of states at the Fermi level   1.82 states/eV per cell

```
5
Lattice="-3.612 -0.951 2.766 0.280 -4.487 -1.177 2.946 -0.757 3.586" Properties=species:S:1:pos:R:3 pbc="T T T"
Ca -0.193 -3.097 2.588
Ag 1.473 -0.378 1.793
Pd 0.140 -2.244 -0.588
Pd -1.806 -0.475 1.383
P 0.000 0.000 0.000
```

First-principles (PBE) data for an optimized crystal structure of CaAgP2S, as listed in Alexandria via LeMat-Bulk.

Summary:
Formation energy (no corrections)   0.88 eV per atom
ρ   2.9 Mg/m³
Total magnetic moment   0.5 Bohr magnetons per cell
Raw total energy   -15.38 eV/f.u.
E above lowest polymorph   646 meV per atom
Density of states at the Fermi level   4.20 states/eV per cell

```
5
Lattice="5.248 0.000 0.000 0.000 5.248 0.000 0.000 0.000 5.119" Properties=species:S:1:pos:R:3 pbc="T T T"
P 2.624 0.000 0.000
S 0.000 0.000 2.559
Ag 2.624 2.624 2.559
P 0.000 2.624 0.000
Ca 0.000 0.000 0.000
```

First-principles (PBE) data for an optimized crystal structure of CaAg2P2S7, as listed in Alexandria via LeMat-Bulk.

Summary:
Formation energy (no corrections)   -0.35 eV per atom
ρ   2.7 Mg/m³
Total magnetic moment   0.0 Bohr magnetons per cell
Raw total energy   -51.56 eV/f.u.
Density of states at the Fermi level   0.15 states/eV per cell

```
12
Lattice="6.452 0.000 0.000 3.226 5.587 0.000 3.226 1.862 9.314" Properties=species:S:1:pos:R:3 pbc="T T T"
Ag 9.677 5.587 6.829
S 5.184 5.341 2.658
Ca 6.452 3.725 4.657
S 5.686 1.819 2.658
S 5.686 5.630 6.656
S 0.000 0.000 0.000
S 8.485 4.014 2.658
P 9.677 5.587 2.152
P 3.226 1.862 7.161
S 8.485 3.435 6.656
Ag 3.226 1.862 2.485
S 5.184 2.109 6.656
```

First-principles (PBE) data for an optimized crystal structure of CaAgP2S, as listed in Alexandria via LeMat-Bulk.

Summary:
Formation energy (no corrections)   0.24 eV per atom
ρ   3.5 Mg/m³
Total magnetic moment   0.0 Bohr magnetons per cell
Raw total energy   -18.61 eV/f.u.
E above lowest polymorph   0 meV per atom
Density of states at the Fermi level   4.51 states/eV per cell

```
5
Lattice="-4.463 1.560 0.709 -0.430 -2.935 3.749 1.761 3.649 3.059" Properties=species:S:1:pos:R:3 pbc="T T T"
S 0.880 1.824 1.529
P -2.232 0.780 0.354
Ca -1.566 1.137 3.758
Ag 0.000 0.000 0.000
P -0.215 -1.468 1.874
```

First-principles (PBE) data for an optimized crystal structure of CaAg2PSe4, as listed in Alexandria via LeMat-Bulk.

Summary:
Formation energy (no corrections)   -0.43 eV per atom
ρ   5.0 Mg/m³
Total magnetic moment   0.0 Bohr magnetons per cell
Raw total energy   -30.51 eV/f.u.
Density of states at the Fermi level   10.07 states/eV per cell

```
16
Lattice="-4.783 5.069 -4.631 -0.118 -5.740 -5.897 -2.446 -1.929 7.446" Properties=species:S:1:pos:R:3 pbc="T T T"
Se -5.010 1.124 -1.350
Ca -1.514 -3.691 0.728
Se -3.899 -0.367 -8.203
Ag -4.464 -2.521 2.257
Se -2.871 -3.470 -1.839
Se -2.984 -1.052 0.698
Se -5.273 -1.452 -4.020
Se -6.167 0.872 2.578
Ca -0.298 -2.730 -2.983
Ag -3.512 -4.363 -4.244
Se -1.543 -3.132 -5.692
Ag -4.211 -2.305 -6.351
P -6.953 -2.676 -2.972
Ag -4.612 -5.229 -0.905
Se -1.897 -0.193 -2.620
P -3.798 -1.086 -1.526
```

First-principles (PBE) data for an optimized crystal structure of SrCa2AgP, as listed in Alexandria via LeMat-Bulk.

Summary:
ρ   2.9 Mg/m³
Total magnetic moment   0.0 Bohr magnetons per cell
Raw total energy   -16.36 eV/f.u.
ΔH_f (0 K)   -0.48 eV per atom
Density of states at the Fermi level   3.56 states/eV per cell

```
5
Lattice="5.462 0.000 0.000 0.000 5.462 0.000 0.000 0.000 5.852" Properties=species:S:1:pos:R:3 pbc="T T T"
Sr 0.000 0.000 2.926
Ca 0.000 2.731 0.000
Ag 2.731 2.731 2.926
Ca 2.731 0.000 0.000
P 0.000 0.000 0.000
```

First-principles (PBE) data for an optimized crystal structure of SrCaAgP, as listed in Alexandria via LeMat-Bulk.

Summary:
ρ   4.4 Mg/m³
Total magnetic moment   0.0 Bohr magnetons per cell
Raw total energy   -14.48 eV/f.u.
ΔH_f (0 K)   -0.63 eV per atom
Density of states at the Fermi level   0.06 states/eV per cell

```
4
Lattice="-3.958 -3.421 -0.147 -1.413 -2.172 -4.547 0.955 -5.069 -0.888" Properties=species:S:1:pos:R:3 pbc="T T T"
Ca 0.000 0.000 0.000
Sr -2.208 -5.331 -2.791
P -3.312 -7.996 -4.187
Ag -1.104 -2.665 -1.396
```

First-principles (PBE) data for an optimized crystal structure of CaAgTeP2, as listed in Alexandria via LeMat-Bulk.

Summary:
Formation energy (no corrections)   0.94 eV per atom
ρ   3.8 Mg/m³
Total magnetic moment   0.0 Bohr magnetons per cell
Raw total energy   -14.11 eV/f.u.
Density of states at the Fermi level   4.09 states/eV per cell

```
5
Lattice="5.213 0.000 0.000 0.000 5.382 0.000 0.000 0.000 5.213" Properties=species:S:1:pos:R:3 pbc="T T T"
P 0.000 0.000 2.607
Ca 0.000 0.000 0.000
Te 2.607 2.691 2.607
Ag 0.000 2.691 0.000
P 2.607 0.000 0.000
```

First-principles (PBE) data for an optimized crystal structure of CaTiAg2P, as listed in Alexandria via LeMat-Bulk.

Summary:
ρ   4.6 Mg/m³
Total magnetic moment   0.4 Bohr magnetons per cell
Raw total energy   -21.00 eV/f.u.
ΔH_f (0 K)   0.00 eV per atom
Density of states at the Fermi level   3.17 states/eV per cell

```
5
Lattice="-4.973 -0.666 -0.884 -0.452 -2.121 4.140 -0.991 4.491 2.193" Properties=species:S:1:pos:R:3 pbc="T T T"
Ca -3.208 0.852 2.724
Ag -0.495 2.245 1.096
P -0.226 -1.060 2.070
Ti 0.000 0.000 0.000
Ag -2.487 -0.333 -0.442
```

First-principles (PBE) data for an optimized crystal structure of CaZnAg2P, as listed in Alexandria via LeMat-Bulk.

Summary:
ρ   4.7 Mg/m³
Total magnetic moment   0.0 Bohr magnetons per cell
Raw total energy   -12.50 eV/f.u.
ΔH_f (0 K)   0.38 eV per atom
Density of states at the Fermi level   2.97 states/eV per cell

```
5
Lattice="4.741 0.000 0.000 0.000 5.538 0.000 0.000 0.000 4.741" Properties=species:S:1:pos:R:3 pbc="T T T"
P 2.370 2.769 2.370
Ag 2.370 0.000 0.000
Ca 0.000 2.769 0.000
Zn 0.000 0.000 0.000
Ag 0.000 0.000 2.370
```

First-principles (PBE) data for an optimized crystal structure of CaPaAg4, as listed in Alexandria via LeMat-Bulk.

Summary:
ρ   8.8 Mg/m³
Total magnetic moment   1.4 Bohr magnetons per cell
Raw total energy   -22.23 eV/f.u.
ΔH_f (0 K)   0.11 eV per atom
Density of states at the Fermi level   6.20 states/eV per cell

```
6
Lattice="5.716 0.000 0.000 2.858 4.950 0.000 2.858 1.650 4.667" Properties=species:S:1:pos:R:3 pbc="T T T"
Ag 4.284 4.127 2.918
Ag 5.716 3.300 0.580
Pa 2.858 1.650 1.167
Ag 7.148 4.127 2.918
Ag 5.716 1.647 2.918
Ca 0.000 0.000 0.000
```

First-principles (PBE) data for an optimized crystal structure of CaPaAg, as listed in Alexandria via LeMat-Bulk.

Summary:
ρ   8.2 Mg/m³
Total magnetic moment   0.0 Bohr magnetons per cell
Raw total energy   -14.32 eV/f.u.
ΔH_f (0 K)   0.01 eV per atom
Density of states at the Fermi level   8.90 states/eV per cell

```
6
Lattice="3.312 0.000 0.000 0.000 5.253 0.000 -1.656 0.000 8.826" Properties=species:S:1:pos:R:3 pbc="T T T"
Pa 0.000 3.940 4.162
Ag 1.656 3.940 1.490
Ca 1.656 3.940 7.501
Ca 0.000 1.313 1.326
Ag 0.000 1.313 7.336
Pa 1.656 1.313 4.664
```